Below is a relaxed structure of AlCo2Re, with properties calculated at the PBE level.

The space group is Pmmm (No. 47) and the conventional cell measures 2.845, 4.164 and 4.269 Å, with angles of 90.00, 90.00 and 90.00 degrees. Symmetry generates all atoms from Al at (0.000, 0.000, 0.000), Co at (0.000, 0.500, 0.500), Co at (0.500, 0.500, 0.000) and Re at (0.500, 0.000, 0.500).

As for the volume: 12.64 Å³/atom. The density comes out at 10.9 g/cm3.

Below is a relaxed structure of Al2CoRe, with properties calculated at the PBE level.

The space group is Pm (No. 6) and the conventional cell measures 2.702, 4.172 and 5.000 Å, with angles of 90.00, 105.50 and 90.00 degrees. Symmetry generates all atoms from Al at (0.000, 0.000, 0.000), Al at (0.372, 0.500, 0.746), Co at (0.123, 0.500, 0.238) and Re at (0.736, 0.000, 0.474).

As for the volume: 13.58 Å³/atom. The density comes out at 9.1 g/cm3.

Below is a relaxed structure of Al2CoRe, with properties calculated at the PBE level.

The space group is Pmmm (No. 47) and the conventional cell measures 2.765, 3.082 and 6.133 Å, with angles of 90.00, 90.00 and 90.00 degrees. Symmetry generates all atoms from Al at (0.000, 0.000, 0.224), Co at (0.500, 0.500, 0.000) and Re at (0.500, 0.500, 0.500).

As for the volume: 13.07 Å³/atom. The density comes out at 9.5 g/cm3.

Below is a relaxed structure of AlCoRe2, with properties calculated at the PBE level.

The space group is P2/m (No. 10) and the conventional cell measures 2.667, 4.205 and 5.085 Å, with angles of 90.00, 103.28 and 90.00 degrees. Symmetry generates all atoms from Al at (0.000, 0.000, 0.000), Co at (0.500, 0.000, 0.500) and Re at (0.271, 0.500, 0.749).

As for the volume: 13.88 Å³/atom. The density comes out at 13.7 g/cm3.

Below is a relaxed structure of AlCo2Re, with properties calculated at the PBE level.

The space group is P4/mmm (No. 123) and the conventional cell measures 4.121, 4.121 and 2.981 Å, with angles of 90.00, 90.00 and 90.00 degrees. Symmetry generates all atoms from Al at (0.000, 0.000, 0.000), Co at (0.000, 0.500, 0.500) and Re at (0.500, 0.500, 0.000).

As for the volume: 12.66 Å³/atom. The density comes out at 10.9 g/cm3.

Below is a relaxed structure of AlCo2Re, with properties calculated at the PBE level.

The space group is F-43m (No. 216) and the conventional cell measures 5.819, 5.819 and 5.819 Å, with angles of 90.00, 90.00 and 90.00 degrees. Symmetry generates all atoms from Al at (0.000, 0.000, 0.000), Co at (0.000, 0.000, 0.500), Co at (0.250, 0.250, 0.750) and Re at (0.250, 0.250, 0.250).

As for the volume: 12.31 Å³/atom. The density comes out at 11.2 g/cm3.

Below is a relaxed structure of AlCo2Re, with properties calculated at the PBE level.

The space group is I-4m2 (No. 119) and the conventional cell measures 3.617, 3.617 and 7.539 Å, with angles of 90.00, 90.00 and 90.00 degrees. Symmetry generates all atoms from Al at (0.000, 0.000, 0.000), Co at (0.000, 0.000, 0.500), Co at (0.000, 0.500, 0.750) and Re at (0.000, 0.500, 0.250).

As for the volume: 12.33 Å³/atom. The density comes out at 11.1 g/cm3.

Below is a relaxed structure of AlCo2Re, with properties calculated at the PBE level.

The space group is R-3m (No. 166, hexagonal axes) and the conventional cell measures 2.6834, 2.6834 and 24.4612 Å, with angles of 90.00, 90.00 and 120.00 degrees. Symmetry generates all atoms from Al at (0.0000, 0.0000, 0.0000), Co at (0.0000, 0.0000, 0.2517) and Re at (0.0000, 0.0000, 0.5000).

As for the volume: 12.71 Å³/atom. The density comes out at 10.8 g/cm3.

Below is a relaxed structure of AlCoRe2, with properties calculated at the PBE level.

The space group is Pmmm (No. 47) and the conventional cell measures 3.078, 4.214 and 4.258 Å, with angles of 90.00, 90.00 and 90.00 degrees. Symmetry generates all atoms from Al at (0.000, 0.000, 0.000), Co at (0.500, 0.500, 0.000), Re at (0.000, 0.500, 0.500) and Re at (0.500, 0.000, 0.500).

As for the volume: 13.81 Å³/atom. The density comes out at 13.8 g/cm3.

Below is a relaxed structure of Al2CoRe, with properties calculated at the PBE level.

The space group is I-42d (No. 122) and the conventional cell measures 6.642, 6.642 and 5.259 Å, with angles of 90.00, 90.00 and 90.00 degrees. Symmetry generates all atoms from Al at (0.218, 0.250, 0.125), Co at (0.000, 0.000, 0.000) and Re at (0.000, 0.000, 0.500).

As for the volume: 14.50 Å³/atom. The density comes out at 8.6 g/cm3.

Below is a relaxed structure of AlCoRe2, with properties calculated at the PBE level.

The space group is Pmm2 (No. 25) and the conventional cell measures 2.755, 3.792 and 5.311 Å, with angles of 90.00, 90.00 and 90.00 degrees. Symmetry generates all atoms from Al at (0.000, 0.000, 0.000), Co at (0.500, 0.500, 0.202), Re at (0.000, 0.000, 0.490) and Re at (0.500, 0.500, 0.719).

As for the volume: 13.87 Å³/atom. The density comes out at 13.7 g/cm3.

Below is a relaxed structure of AlCoRe2, with properties calculated at the PBE level.

The space group is Pm (No. 6) and the conventional cell measures 2.705, 4.053 and 5.127 Å, with angles of 90.00, 105.19 and 90.00 degrees. Symmetry generates all atoms from Al at (0.000, 0.000, 0.000), Co at (0.114, 0.500, 0.236), Re at (0.374, 0.500, 0.749) and Re at (0.734, 0.000, 0.477).

As for the volume: 13.56 Å³/atom. The density comes out at 14.0 g/cm3.

Below is a relaxed structure of AlCoRe2, with properties calculated at the PBE level.

The space group is R-3m (No. 166, hexagonal axes) and the conventional cell measures 2.7347, 2.7347 and 25.7331 Å, with angles of 90.00, 90.00 and 120.00 degrees. Symmetry generates all atoms from Al at (0.0000, 0.0000, 0.0000), Co at (0.0000, 0.0000, 0.5000) and Re at (0.0000, 0.0000, 0.2465).

As for the volume: 13.89 Å³/atom. The density comes out at 13.7 g/cm3.

Below is a relaxed structure of AlCoRe3, with properties calculated at the PBE level.

The space group is Pm-3m (No. 221) and the conventional cell measures 4.404, 4.404 and 4.404 Å, with angles of 90.00, 90.00 and 90.00 degrees. Symmetry generates all atoms from Al at (0.000, 0.000, 0.000), Co at (0.500, 0.500, 0.500) and Re at (0.000, 0.500, 0.500).

As for the volume: 17.08 Å³/atom. The density comes out at 12.5 g/cm3.

Below is a relaxed structure of AlCoRe2, with properties calculated at the PBE level.

The space group is Cmmm (No. 65) and the conventional cell measures 5.114, 7.912 and 2.718 Å, with angles of 90.00, 90.00 and 90.00 degrees. Symmetry generates all atoms from Al at (0.000, 0.000, 0.000), Co at (0.000, 0.500, 0.000) and Re at (0.250, 0.250, 0.500).

As for the volume: 13.75 Å³/atom. The density comes out at 13.8 g/cm3.

Number 1: E_form 0.0280 eV per atom, N(E_F) 5.5 states/eV/f.u.. Number 2: E_form -0.1137 eV per atom, N(E_F) 4.0 states/eV/f.u.. Number 3: E_form -0.2891 eV per atom, N(E_F) 3.4 states/eV/f.u.. Number 4: E_form 0.0498 eV per atom, N(E_F) 3.5 states/eV/f.u.. Number 5: E_form -0.1173 eV per atom, N(E_F) 1.5 states/eV/f.u.. Number 6: E_form -0.0118 eV per atom, N(E_F) 2.8 states/eV/f.u.. Number 7: E_form -0.0773 eV per atom, N(E_F) 4.1 states/eV/f.u.. Number 8: E_form -0.0376 eV per atom, N(E_F) 5.7 states/eV/f.u.. Number 9: E_form -0.0409 eV per atom, N(E_F) 2.3 states/eV/f.u.. Number 10: E_form 0.3383 eV per atom, N(E_F) 2.5 states/eV/f.u.. Number 11: E_form -0.0277 eV per atom, N(E_F) 3.9 states/eV/f.u.. Number 12: E_form -0.0441 eV per atom, N(E_F) 3.8 states/eV/f.u.. Number 13: E_form 0.0411 eV per atom, N(E_F) 3.3 states/eV/f.u.. Number 14: E_form 1.4924 eV per atom, N(E_F) 5.5 states/eV/f.u.. Number 15: E_form 0.0578 eV per atom, N(E_F) 3.8 states/eV/f.u..